No. 1
VASP calculation (GGA-PBE) on an optimized crystal structure of ScIn3P.

Structure (POSCAR):
```
ScIn3P
1.0
5.1505 0.0000 0.0000
0.0000 5.1505 0.0000
0.0000 0.0000 5.1505
In Sc P
3 1 1
direct
0.5000 0.0000 0.0000 In
0.0000 0.0000 0.5000 In
0.0000 0.5000 0.0000 In
0.5000 0.5000 0.5000 Sc
0.0000 0.0000 0.0000 P
```

Summary:
M_tot: 0.000 μB per atom
E_form: 0.3848 eV/atom
relative energy among the computed polymorphs: 0.00 eV per formula unit

=====

No. 2
VASP calculation (GGA-PBE) on an optimized crystal structure of ScSbO4.

Structure (POSCAR):
```
ScSbO4
1.0
-4.6185 -0.0728 1.2324
-1.4145 -1.3428 -5.3804
0.9290 -4.7096 3.2032
Sb O Sc
2 8 2
direct
0.0000 0.0000 0.0000 Sb
0.5000 0.5000 0.0000 Sb
0.2107 0.3327 0.1452 O
0.3201 0.3620 0.6691 O
0.6799 0.6380 0.3309 O
0.2893 0.8327 0.1452 O
0.1799 0.8620 0.6691 O
0.7893 0.6673 0.8548 O
0.7107 0.1673 0.8548 O
0.8201 0.1380 0.3309 O
0.5000 0.0000 0.5000 Sc
0.0000 0.5000 0.5000 Sc
```

Summary:
ΔE_f (raw): -224.5 kJ/mol of atoms
M_tot: 0.000 μB per atom

=====

No. 3
VASP calculation (GGA-PBE) on an optimized crystal structure of V2CoRu.

Structure (POSCAR):
```
V2CoRu
1.0
2.9907 0.0000 0.0000
0.0000 2.9907 0.0000
0.0000 0.0000 5.7742
Co Ru V
1 1 2
direct
0.5000 0.5000 0.0000 Co
0.5000 0.5000 0.5000 Ru
0.0000 0.0000 0.7635 V
0.0000 0.0000 0.2365 V
```

Summary:
M_tot: 0.610 μB per atom
E_form: -0.1703 eV/atom

=====

No. 4
VASP calculation (GGA-PBE) on an optimized crystal structure of KU2PdS6.

Structure (POSCAR):
```
KU2PdS6
1.0
-4.0030 4.1296 -3.8353
-6.8301 2.5040 5.5396
3.0402 8.4633 1.6544
S U Pd K
12 4 2 2
direct
0.3161 0.6789 0.5894 S
0.2423 0.0800 0.1780 S
0.1975 0.3750 0.8952 S
0.7577 0.9200 0.8220 S
0.8161 0.5894 0.6789 S
0.3025 0.1048 0.6250 S
0.7423 0.1780 0.0800 S
0.8025 0.6250 0.1048 S
0.6975 0.8952 0.3750 S
0.1839 0.4106 0.3211 S
0.6839 0.3211 0.4106 S
0.2577 0.8220 0.9200 S
0.0333 0.6648 0.8347 U
0.4667 0.1653 0.3352 U
0.5333 0.8347 0.6648 U
0.9667 0.3352 0.1653 U
0.2500 0.1014 0.8986 Pd
0.7500 0.8986 0.1014 Pd
0.7500 0.2645 0.7355 K
0.2500 0.7355 0.2645 K
```

Summary:
ΔE_f (raw): -106.7 kJ/mol of atoms
M_tot: 0.172 μB per atom

=====

Question: What is the formula in the fourth record?
Answer: KU2PdS6

=====

Question: Which value of M_tot does entry 2 give?
Answer: 0.000 μB per atom

=====

Question: Number 1 is which compound?
Answer: ScIn3P

=====

Question: Which value of M_tot does entry 2 give?
Answer: 0.000 μB per atom